The following is a DFT calculation (GGA-PBEsol) of a relaxed structure of TlFeSe.

Summary:
energy above the most stable polymorph in this dataset	234	meV/atom
total energy	-4.804	eV/atom
mass density	9.2	g cm⁻³
crystal system	cubic
DOS(E_F)	1.17	states/eV per atom

Cell: 4.4305 4.4305 4.4305 Å, 60.00 60.00 60.00°
Closest atoms and distances in Å follow each position.
Element x y z (fractional)
Fe (0.7500, 0.7500, 0.7500)  4 Tl 2.71, 4 Se 2.71
Se (0.0000, 0.0000, 0.0000)  4 Fe 2.71
Tl (0.5000, 0.5000, 0.5000)  4 Fe 2.71